Run P
5
Lattice="5.566 0.000 0.000 0.000 5.566 0.000 0.000 0.000 5.453" Properties=species:S:1:pos:R:3 comment="ScSb2AuI PBE relaxed" rho_kg_m3=6018 sg="No. 123" pbc="T T T"
Sc 0.000 0.000 0.000
Sb 0.000 2.783 0.000
Sb 2.783 0.000 0.000
Au 2.783 2.783 2.727
I 0.000 0.000 2.727



Run Q
5
Lattice="5.386 0.000 0.000 0.000 5.386 0.000 0.000 0.000 5.526" Properties=species:S:1:pos:R:3 comment="ScSb2AuI PBE relaxed" rho_kg_m3=6342 sg="No. 123" pbc="T T T"
Sc 0.000 0.000 0.000
Sb 0.000 2.693 2.763
Sb 2.693 0.000 2.763
Au 2.693 2.693 2.763
I 2.693 2.693 0.000



The computed energies, referenced to the most stable structure and given in eV/atom, are run P 0.000; run Q 0.132.



Run P
5
Lattice="5.442 0.000 0.000 0.000 5.442 0.000 0.000 0.000 5.692" Properties=species:S:1:pos:R:3 comment="SbAuSeI2 PBE relaxed" rho_kg_m3=6417 sg="No. 123" pbc="T T T"
Sb 0.000 0.000 0.000
Au 0.000 0.000 2.846
Se 2.721 2.721 0.000
I 0.000 2.721 2.846
I 2.721 0.000 2.846



Run Q
5
Lattice="5.549 0.000 0.000 0.000 5.549 0.000 0.000 0.000 5.849" Properties=species:S:1:pos:R:3 comment="SbAuSeI2 PBE relaxed" rho_kg_m3=6006 sg="No. 123" pbc="T T T"
Sb 0.000 0.000 0.000
Au 2.775 2.775 0.000
Se 0.000 0.000 2.925
I 0.000 2.775 2.925
I 2.775 0.000 2.925



The computed energies, referenced to the most stable structure and given in eV/atom, are run P 0.000; run Q 0.141.



Run P
5
Lattice="5.261 0.000 0.000 0.000 5.261 0.000 0.000 0.000 5.336" Properties=species:S:1:pos:R:3 comment="SiSb2AuI PBE relaxed" rho_kg_m3=6695 sg="No. 123" pbc="T T T"
Si 0.000 0.000 0.000
Sb 0.000 2.631 0.000
Sb 2.631 0.000 0.000
Au 2.631 2.631 2.668
I 0.000 0.000 2.668



Run Q
5
Lattice="5.399 0.000 0.000 0.000 5.399 0.000 0.000 0.000 5.550" Properties=species:S:1:pos:R:3 comment="SiSb2AuI PBE relaxed" rho_kg_m3=6111 sg="No. 123" pbc="T T T"
Si 0.000 0.000 0.000
Sb 0.000 2.700 2.775
Sb 2.700 0.000 2.775
Au 2.700 2.700 2.775
I 2.700 2.700 0.000



The computed energies, referenced to the most stable structure and given in eV/atom, are run P 0.000; run Q 0.176.



Run P
5
Lattice="6.311 0.000 0.000 0.000 6.311 0.000 0.000 0.000 6.065" Properties=species:S:1:pos:R:3 comment="SrSb2AuI PBE relaxed" rho_kg_m3=4503 sg="No. 123" pbc="T T T"
Sr 0.000 0.000 0.000
Sb 0.000 3.156 0.000
Sb 3.156 0.000 0.000
Au 3.156 3.156 3.032
I 0.000 0.000 3.032



Run Q
5
Lattice="5.426 0.000 0.000 0.000 5.426 0.000 0.000 0.000 5.896" Properties=species:S:1:pos:R:3 comment="SrSb2AuI PBE relaxed" rho_kg_m3=6266 sg="No. 123" pbc="T T T"
Sr 0.000 0.000 0.000
Sb 0.000 2.713 2.948
Sb 2.713 0.000 2.948
Au 2.713 2.713 2.948
I 2.713 2.713 0.000



The computed energies, referenced to the most stable structure and given in eV/atom, are run P 0.795; run Q 0.000.



Run P
5
Lattice="5.439 0.000 0.000 0.000 5.439 0.000 0.000 0.000 5.625" Properties=species:S:1:pos:R:3 comment="SbTe2AuI PBE relaxed" rho_kg_m3=6994 sg="No. 123" pbc="T T T"
Sb 0.000 0.000 0.000
Te 0.000 2.719 2.812
Te 2.719 0.000 2.812
Au 0.000 0.000 2.812
I 2.719 2.719 0.000



Run Q
5
Lattice="5.510 0.000 0.000 0.000 5.510 0.000 0.000 0.000 5.400" Properties=species:S:1:pos:R:3 comment="SbTe2AuI PBE relaxed" rho_kg_m3=7098 sg="No. 123" pbc="T T T"
Sb 0.000 0.000 0.000
Te 0.000 2.755 2.700
Te 2.755 0.000 2.700
Au 2.755 2.755 2.700
I 2.755 2.755 0.000



The computed energies, referenced to the most stable structure and given in eV/atom, are run P 0.027; run Q 0.000.



Run P
5
Lattice="5.332 0.000 0.000 0.000 5.332 0.000 0.000 0.000 5.245" Properties=species:S:1:pos:R:3 comment="TiSb2AuI PBE relaxed" rho_kg_m3=6851 sg="No. 123" pbc="T T T"
Ti 0.000 0.000 0.000
Sb 0.000 2.666 0.000
Sb 2.666 0.000 0.000
Au 2.666 2.666 2.623
I 0.000 0.000 2.623



Run Q
5
Lattice="5.366 0.000 0.000 0.000 5.366 0.000 0.000 0.000 5.480" Properties=species:S:1:pos:R:3 comment="TiSb2AuI PBE relaxed" rho_kg_m3=6475 sg="No. 123" pbc="T T T"
Ti 0.000 0.000 0.000
Sb 0.000 2.683 2.740
Sb 2.683 0.000 2.740
Au 2.683 2.683 2.740
I 2.683 2.683 0.000



The computed energies, referenced to the most stable structure and given in eV/atom, are run P 0.000; run Q 0.557.



Run P
5
Lattice="5.300 0.000 0.000 0.000 5.300 0.000 0.000 0.000 5.605" Properties=species:S:1:pos:R:3 comment="TiSbAuI2 PBE relaxed" rho_kg_m3=6543 sg="No. 123" pbc="T T T"
Ti 0.000 0.000 0.000
Sb 0.000 0.000 2.803
Au 2.650 2.650 2.803
I 0.000 2.650 0.000
I 2.650 0.000 0.000



Run Q
5
Lattice="5.522 0.000 0.000 0.000 5.522 0.000 0.000 0.000 5.517" Properties=species:S:1:pos:R:3 comment="TiSbAuI2 PBE relaxed" rho_kg_m3=6124 sg="No. 123" pbc="T T T"
Ti 0.000 0.000 0.000
Sb 2.761 2.761 0.000
Au 2.761 2.761 2.759
I 0.000 2.761 2.759
I 2.761 0.000 2.759



The computed energies, referenced to the most stable structure and given in eV/atom, are run P 0.000; run Q 0.615.



Run P
5
Lattice="5.396 0.000 0.000 0.000 5.396 0.000 0.000 0.000 6.200" Properties=species:S:1:pos:R:3 comment="TlSb2AuI PBE relaxed" rho_kg_m3=7098 sg="No. 123" pbc="T T T"
Tl 0.000 0.000 0.000
Sb 0.000 2.698 3.100
Sb 2.698 0.000 3.100
Au 2.698 2.698 3.100
I 2.698 2.698 0.000



Run Q
5
Lattice="5.786 0.000 0.000 0.000 5.786 0.000 0.000 0.000 5.938" Properties=species:S:1:pos:R:3 comment="TlSb2AuI PBE relaxed" rho_kg_m3=6446 sg="No. 123" pbc="T T T"
Tl 0.000 0.000 0.000
Sb 0.000 2.893 0.000
Sb 2.893 0.000 0.000
Au 2.893 2.893 2.969
I 0.000 0.000 2.969



The computed energies, referenced to the most stable structure and given in eV/atom, are run P 0.000; run Q 0.660.